The following is a GGA-PBE calculation of crystalline RbPuTlTe3 at its relaxed geometry, from OQMD.

Cell and atoms, written as POSCAR:
```
RbPuTlTe3
1.0
2.270 -8.458 0.000
2.270 8.458 0.000
0.000 0.000 13.031
Rb Pu Tl Te
2 2 2 6
direct
0.187 0.813 0.750
0.813 0.187 0.250
0.500 0.500 0.000
0.500 0.500 0.500
0.125 0.875 0.250
0.875 0.125 0.750
0.121 0.879 0.002
0.121 0.879 0.498
0.496 0.504 0.250
0.504 0.496 0.750
0.879 0.121 0.502
0.879 0.121 0.998
```

Calculated values
density: 6.1 g/cm3
uncorrected energy: -5.216 eV/atom

***

The following is a GGA-PBE calculation of crystalline ReOs3Br2 at its relaxed geometry, from OQMD.

Cell and atoms, written as POSCAR:
```
ReOs3Br2
1.0
5.076 0.000 0.000
-2.538 4.396 0.000
0.000 0.000 5.322
Re Os Br
1 3 2
direct
0.000 0.000 0.000
0.000 0.500 0.500
0.500 0.000 0.500
0.500 0.500 0.500
0.333 0.667 0.906
0.667 0.333 0.094
```

Calculated values
density: 12.8 g/cm3
uncorrected energy: -6.006 eV/atom

***

The following is a GGA-PBE calculation of crystalline TaBeFeSn at its relaxed geometry, from OQMD.

Cell and atoms, written as POSCAR:
```
TaBeFeSn
1.0
0.000 3.123 3.123
3.123 0.000 3.123
3.123 3.123 0.000
Ta Be Fe Sn
1 1 1 1
direct
0.000 0.000 0.000
0.750 0.750 0.750
0.500 0.500 0.500
0.250 0.250 0.250
```

Calculated values
density: 9.9 g/cm3
uncorrected energy: -6.493 eV/atom

***

The following is a GGA-PBE calculation of crystalline BeIrPb at its relaxed geometry, from OQMD.

Cell and atoms, written as POSCAR:
```
BeIrPb
1.0
0.000 3.063 3.063
3.063 0.000 3.063
3.063 3.063 0.000
Be Ir Pb
1 1 1
direct
0.000 0.000 0.000
0.250 0.250 0.250
0.500 0.500 0.500
```

Calculated values
density: 11.8 g/cm3
uncorrected energy: -5.083 eV/atom

***

The following is a GGA-PBE calculation of crystalline NdYSi2Os at its relaxed geometry, from OQMD.

Cell and atoms, written as POSCAR:
```
NdYSi2Os
1.0
5.416 -2.131 0.000
5.416 2.131 0.000
-4.940 0.000 8.934
Nd Y Si Os
2 2 4 2
direct
0.190 0.190 0.109
0.810 0.810 0.891
0.004 0.004 0.675
0.996 0.996 0.325
0.353 0.353 0.439
0.498 0.498 0.870
0.502 0.502 0.130
0.647 0.647 0.561
0.270 0.270 0.624
0.730 0.730 0.376
```

Calculated values
density: 7.7 g/cm3
uncorrected energy: -7.406 eV/atom

***

The following is a GGA-PBE calculation of crystalline NbCdNiGe at its relaxed geometry, from OQMD.

Cell and atoms, written as POSCAR:
```
NbCdNiGe
1.0
0.000 3.189 3.189
3.189 0.000 3.189
3.189 3.189 0.000
Nb Cd Ni Ge
1 1 1 1
direct
0.000 0.000 0.000
0.750 0.750 0.750
0.500 0.500 0.500
0.250 0.250 0.250
```

Calculated values
density: 8.6 g/cm3
uncorrected energy: -5.086 eV/atom

***

The following is a GGA-PBE calculation of crystalline ZrBeReBi at its relaxed geometry, from OQMD.

Cell and atoms, written as POSCAR:
```
ZrBeReBi
1.0
0.000 3.298 3.298
3.298 0.000 3.298
3.298 3.298 0.000
Zr Be Re Bi
1 1 1 1
direct
0.000 0.000 0.000
0.250 0.250 0.250
0.750 0.750 0.750
0.500 0.500 0.500
```

Calculated values
density: 11.5 g/cm3
uncorrected energy: -6.730 eV/atom

***

The following is a GGA-PBE calculation of crystalline NaCoHg at its relaxed geometry, from OQMD.

Cell and atoms, written as POSCAR:
```
NaCoHg
1.0
0.000 3.192 3.192
3.192 0.000 3.192
3.192 3.192 0.000
Na Co Hg
1 1 1
direct
0.000 0.000 0.000
0.750 0.750 0.750
0.500 0.500 0.500
```

Calculated values
density: 7.2 g/cm3
uncorrected energy: -2.271 eV/atom